A plane-wave DFT calculation with GGA+U was carried out for an optimized crystal structure of CoPtSO2.

Computed properties:
Its size of the total moment is 2.63 μB/cell. Its calculated density is 6.9 g/cm3. The raw total energy is -24.13 eV for the cell shown. Its crystal system is tetragonal. As for the space group: P4/mmm.

Unit cell a=3.818 b=5.251 c=3.818 alpha=90.00 beta=90.00 gamma=90.00
Each line ends with the local moment (μB).
Fractional positions:
S1 0.000 0.500 0.000  0.10
Co1 0.500 0.500 0.500  2.44
O1 0.000 0.000 0.500  0.01
O2 0.500 0.000 0.000  -0.01
Pt1 0.000 0.000 0.000  -0.02